one:
Entry from Alexandria: a geometry-optimized K8RbO2 structure (PBE-GGA).

The structure in POSCAR format:
```
K8RbO2
1.0
5.541 -0.454 0.000
-0.390 8.516 0.000
-0.195 4.258 11.540
K Rb O
8 1 2
direct
0.975 0.055 0.355
0.975 0.410 0.645
0.200 0.353 0.000
0.500 0.729 0.541
0.500 0.271 0.459
0.800 0.647 0.000
0.025 0.590 0.355
0.025 0.945 0.645
0.500 0.000 0.000
0.000 0.256 0.488
0.000 0.744 0.512
```

Output
Theoretical density in g/cm3: 1.317
Volume in Å³ per atom: 49.31
DOS at the Fermi energy in states/eV/f.u.: 4.51


two:
Entry from Alexandria: a geometry-optimized K8RbO2 structure (PBE-GGA).

The structure in POSCAR format:
```
K8RbO2
1.0
8.099 -0.069 0.010
-2.388 7.739 0.010
0.378 0.507 8.969
K Rb O
8 1 2
direct
0.085 0.682 0.733
0.318 0.915 0.267
0.154 0.154 0.581
0.846 0.846 0.419
0.682 0.085 0.733
0.915 0.318 0.267
0.377 0.377 0.214
0.623 0.623 0.786
0.000 0.000 0.000
0.110 0.110 0.290
0.890 0.890 0.710
```

Output
Theoretical density in g/cm3: 1.275
Volume in Å³ per atom: 50.96
DOS at the Fermi energy in states/eV/f.u.: 4.34


The relative energies come out as one 0.091; two 0.000, with values in eV/atom.


one:
Entry from Alexandria: a geometry-optimized K4RbO2 structure (PBE-GGA).

The structure in POSCAR format:
```
K4RbO2
1.0
-2.687 1.098 2.602
-8.853 -6.376 -6.451
2.439 -10.356 6.889
K Rb O
8 2 4
direct
0.000 0.093 0.272
0.000 0.907 0.728
0.500 0.228 0.593
0.500 0.772 0.407
0.500 0.407 0.772
0.500 0.593 0.228
0.000 0.272 0.093
0.000 0.728 0.907
0.500 0.000 0.000
0.000 0.500 0.500
0.000 0.348 0.652
0.000 0.652 0.348
0.500 0.848 0.848
0.500 0.152 0.152
```

Output
Theoretical density in g/cm3: 1.452
Volume in Å³ per atom: 44.74
DOS at the Fermi energy in states/eV/f.u.: 2.02


two:
Entry from Alexandria: a geometry-optimized K4RbO2 structure (PBE-GGA).

The structure in POSCAR format:
```
K4RbO2
1.0
7.039 -0.004 -3.150
-1.724 7.105 -3.837
0.150 0.517 9.763
K Rb O
8 2 4
direct
0.370 0.273 0.548
0.899 0.635 0.269
0.880 0.116 0.231
0.881 0.102 0.602
0.882 0.501 0.603
0.072 0.475 0.952
0.529 0.648 0.897
0.529 0.250 0.898
0.421 0.081 0.162
0.509 0.669 0.338
0.197 0.366 0.732
0.716 0.384 0.768
0.682 0.375 0.250
0.682 0.875 0.250
```

Output
Theoretical density in g/cm3: 1.789
Volume in Å³ per atom: 36.31
DOS at the Fermi energy in states/eV/f.u.: 2.06


The relative energies come out as one 0.011; two 0.000, with values in eV/atom.


one:
Entry from Alexandria: a geometry-optimized K3RbO structure (PBE-GGA).

The structure in POSCAR format:
```
K3RbO
1.0
7.438 0.000 0.000
0.000 7.438 0.000
0.000 0.000 7.438
K O Rb
3 1 1
direct
0.000 0.500 0.000
0.000 0.000 0.500
0.500 0.000 0.000
0.500 0.500 0.500
0.000 0.000 0.000
```

Output
Theoretical density in g/cm3: 0.883
Volume in Å³ per atom: 82.30
DOS at the Fermi energy in states/eV/f.u.: 1.54


two:
Entry from Alexandria: a geometry-optimized K3RbO structure (PBE-GGA).

The structure in POSCAR format:
```
K3RbO
1.0
5.881 0.000 0.000
0.000 5.881 0.000
0.000 0.000 5.881
K O Rb
3 1 1
direct
0.000 0.500 0.000
0.000 0.000 0.500
0.500 0.000 0.000
0.000 0.000 0.000
0.500 0.500 0.500
```

Output
Theoretical density in g/cm3: 1.786
Volume in Å³ per atom: 40.67
DOS at the Fermi energy in states/eV/f.u.: 1.20


three:
Entry from Alexandria: a geometry-optimized K3RbO structure (PBE-GGA).

The structure in POSCAR format:
```
K3RbO
1.0
-5.897 3.877 4.478
0.871 0.366 8.637
1.027 8.462 2.303
K Rb O
6 2 2
direct
0.228 0.654 0.259
0.810 0.559 0.666
0.411 0.966 0.566
0.729 0.654 0.259
0.911 0.966 0.566
0.329 0.061 0.158
0.311 0.542 0.681
0.829 0.078 0.143
0.820 0.810 0.412
0.320 0.810 0.412
```

Output
Theoretical density in g/cm3: 1.501
Volume in Å³ per atom: 48.39
DOS at the Fermi energy in states/eV/f.u.: 2.33


The relative energies come out as one 1.271; two 0.184; three 0.000, with values in eV/atom.


one:
Entry from Alexandria: a geometry-optimized K3Rb4O structure (PBE-GGA).

The structure in POSCAR format:
```
K3Rb4O
1.0
-0.800 2.039 -5.305
7.840 -12.233 -5.885
-10.134 -6.102 -0.816
K O Rb
6 2 8
direct
0.564 0.954 0.000
0.065 0.409 0.161
0.565 0.591 0.339
0.064 0.046 0.500
0.565 0.591 0.661
0.065 0.409 0.839
0.064 0.294 0.000
0.564 0.706 0.500
0.065 0.698 0.000
0.564 0.296 0.000
0.064 0.166 0.165
0.564 0.834 0.335
0.064 0.704 0.500
0.565 0.302 0.500
0.564 0.834 0.665
0.064 0.166 0.835
```

Output
Theoretical density in g/cm3: 1.479
Volume in Å³ per atom: 66.68
DOS at the Fermi energy in states/eV/f.u.: 4.89


two:
Entry from Alexandria: a geometry-optimized K3Rb4O structure (PBE-GGA).

The structure in POSCAR format:
```
K3Rb4O
1.0
7.913 0.000 0.000
0.000 12.480 0.000
0.000 0.000 12.276
K Rb O
6 8 2
direct
0.564 0.607 0.000
0.067 0.586 0.193
0.567 0.414 0.307
0.064 0.393 0.500
0.567 0.414 0.693
0.067 0.586 0.807
0.056 0.907 0.000
0.645 0.121 0.000
0.075 0.197 0.172
0.575 0.803 0.328
0.145 0.879 0.500
0.556 0.093 0.500
0.575 0.803 0.672
0.075 0.197 0.828
0.966 0.104 0.000
0.466 0.896 0.500
```

Output
Theoretical density in g/cm3: 1.302
Volume in Å³ per atom: 75.77
DOS at the Fermi energy in states/eV/f.u.: 4.80


The relative energies come out as one 0.000; two 0.020, with values in eV/atom.


one:
Entry from Alexandria: a geometry-optimized K4Rb2O structure (PBE-GGA).

The structure in POSCAR format:
```
K4Rb2O
1.0
-3.288 -0.601 -2.720
-0.723 -7.888 2.616
-6.987 7.319 6.829
K Rb O
4 2 1
direct
0.500 0.136 0.929
0.000 0.816 0.702
0.500 0.721 0.928
0.000 0.041 0.155
0.500 0.236 0.544
0.500 0.621 0.313
0.000 0.929 0.929
```

Output
Theoretical density in g/cm3: 1.383
Volume in Å³ per atom: 58.90
DOS at the Fermi energy in states/eV/f.u.: 4.27


two:
Entry from Alexandria: a geometry-optimized K4Rb2O structure (PBE-GGA).

The structure in POSCAR format:
```
K4Rb2O
1.0
5.481 0.000 0.000
0.000 5.481 0.000
2.740 2.740 13.821
K O Rb
4 1 2
direct
0.094 0.094 0.813
0.906 0.906 0.187
0.000 0.500 0.000
0.500 0.000 0.000
0.000 0.000 0.000
0.307 0.307 0.387
0.693 0.693 0.613
```

Output
Theoretical density in g/cm3: 1.373
Volume in Å³ per atom: 59.31
DOS at the Fermi energy in states/eV/f.u.: 3.77


The relative energies come out as one 0.013; two 0.000, with values in eV/atom.


one:
Entry from Alexandria: a geometry-optimized K3Rb2O structure (PBE-GGA).

The structure in POSCAR format:
```
K3Rb2O
1.0
-5.206 -3.455 4.339
7.138 -6.586 3.319
-0.399 8.250 6.091
K Rb O
6 4 2
direct
0.000 0.095 0.905
0.500 0.095 0.905
0.250 0.729 0.729
0.750 0.271 0.271
0.500 0.905 0.095
0.000 0.905 0.095
0.750 0.471 0.801
0.250 0.199 0.529
0.250 0.529 0.199
0.750 0.801 0.471
0.250 0.939 0.939
0.750 0.061 0.061
```

Output
Theoretical density in g/cm3: 1.347
Volume in Å³ per atom: 62.52
DOS at the Fermi energy in states/eV/f.u.: 2.37


two:
Entry from Alexandria: a geometry-optimized K3Rb2O structure (PBE-GGA).

The structure in POSCAR format:
```
K3Rb2O
1.0
-1.774 -2.089 3.363
-4.281 -5.929 -5.941
13.826 -8.929 -1.053
K Rb O
6 4 2
direct
0.405 0.477 0.810
0.595 0.523 0.190
0.405 0.023 0.810
0.595 0.977 0.190
0.854 0.750 0.709
0.146 0.250 0.291
0.219 0.750 0.439
0.781 0.250 0.561
0.965 0.750 0.930
0.035 0.250 0.070
0.405 0.750 0.811
0.595 0.250 0.189
```

Output
Theoretical density in g/cm3: 1.512
Volume in Å³ per atom: 55.69
DOS at the Fermi energy in states/eV/f.u.: 2.96


The relative energies come out as one 0.010; two 0.000, with values in eV/atom.


one:
Entry from Alexandria: a geometry-optimized K2RbO2 structure (PBE-GGA).

The structure in POSCAR format:
```
K2RbO2
1.0
-1.232 3.922 -0.921
-4.023 1.127 0.544
0.093 4.226 8.241
K Rb O
2 1 2
direct
0.732 0.732 0.803
0.268 0.268 0.197
0.500 0.500 0.500
0.903 0.903 0.292
0.097 0.097 0.708
```

Output
Theoretical density in g/cm3: 2.365
Volume in Å³ per atom: 27.47
DOS at the Fermi energy in states/eV/f.u.: 11.37


two:
Entry from Alexandria: a geometry-optimized K2RbO2 structure (PBE-GGA).

The structure in POSCAR format:
```
K2RbO2
1.0
7.811 0.000 0.000
0.000 7.811 0.000
0.000 0.000 3.527
K O Rb
4 4 2
direct
0.133 0.633 0.500
0.633 0.867 0.500
0.867 0.367 0.500
0.367 0.133 0.500
0.327 0.827 0.000
0.827 0.673 0.000
0.673 0.173 0.000
0.173 0.327 0.000
0.000 0.000 0.000
0.500 0.500 0.000
```

Output
Theoretical density in g/cm3: 3.020
Volume in Å³ per atom: 21.52
DOS at the Fermi energy in states/eV/f.u.: 4.41


The relative energies come out as one 0.000; two 0.033, with values in eV/atom.


one:
Entry from Alexandria: a geometry-optimized KRb3O2 structure (PBE-GGA).

The structure in POSCAR format:
```
KRb3O2
1.0
4.437 0.000 0.000
2.219 8.054 0.869
2.219 2.823 9.919
K Rb O
2 6 4
direct
0.426 0.491 0.658
0.574 0.509 0.342
0.049 0.148 0.753
0.951 0.852 0.247
0.671 0.670 0.987
0.329 0.330 0.013
0.791 0.824 0.594
0.209 0.176 0.406
0.859 0.450 0.831
0.141 0.550 0.169
0.613 0.194 0.579
0.387 0.806 0.421
```

Output
Theoretical density in g/cm3: 3.166
Volume in Å³ per atom: 28.63


two:
Entry from Alexandria: a geometry-optimized KRb3O2 structure (PBE-GGA).

The structure in POSCAR format:
```
KRb3O2
1.0
4.652 0.000 0.958
1.612 7.175 3.943
0.263 2.145 10.495
K Rb O
2 6 4
direct
0.438 0.445 0.679
0.562 0.555 0.321
0.058 0.079 0.805
0.942 0.921 0.195
0.683 0.690 0.945
0.317 0.310 0.055
0.813 0.807 0.568
0.187 0.193 0.432
0.875 0.383 0.866
0.125 0.617 0.134
0.617 0.147 0.618
0.383 0.853 0.382
```

Output
Theoretical density in g/cm3: 3.481
Volume in Å³ per atom: 26.04


The relative energies come out as one 0.000; two 0.005, with values in eV/atom.


one:
Entry from Alexandria: a geometry-optimized K3RbO2 structure (PBE-GGA).

The structure in POSCAR format:
```
K3RbO2
1.0
-3.798 2.493 4.772
-2.519 -5.982 1.131
4.768 -1.168 4.395
K Rb O
6 2 4
direct
0.250 0.749 0.750
0.749 0.250 0.750
0.250 0.250 0.251
0.251 0.750 0.250
0.750 0.251 0.250
0.750 0.750 0.749
0.249 0.249 0.751
0.751 0.751 0.249
0.000 0.000 0.000
0.500 0.000 0.500
0.500 0.500 0.000
0.000 0.500 0.500
```

Output
Theoretical density in g/cm3: 2.726
Volume in Å³ per atom: 23.84


two:
Entry from Alexandria: a geometry-optimized K3RbO2 structure (PBE-GGA).

The structure in POSCAR format:
```
K3RbO2
1.0
4.313 0.000 0.000
-2.156 7.469 -2.356
0.000 -6.174 12.489
K Rb O
6 2 4
direct
0.367 0.735 0.593
0.058 0.116 0.649
0.744 0.488 0.715
0.256 0.512 0.285
0.942 0.884 0.351
0.633 0.265 0.407
0.866 0.732 0.060
0.134 0.268 0.940
0.630 0.259 0.807
0.370 0.741 0.193
0.819 0.638 0.431
0.181 0.362 0.569
```

Output
Theoretical density in g/cm3: 2.296
Volume in Å³ per atom: 28.30
DOS at the Fermi energy in states/eV/f.u.: 1.69


The relative energies come out as one 0.000; two 0.012, with values in eV/atom.


one:
Entry from Alexandria: a geometry-optimized K5Rb2O structure (PBE-GGA).

The structure in POSCAR format:
```
K5Rb2O
1.0
8.468 0.000 0.000
0.000 8.468 -0.001
-4.234 -4.234 7.710
K Rb O
5 2 1
direct
0.791 0.215 0.006
0.215 0.215 0.006
0.791 0.791 0.006
0.215 0.791 0.006
0.805 0.805 0.610
0.246 0.747 0.493
0.746 0.246 0.493
0.968 0.968 0.935
```

Output
Theoretical density in g/cm3: 1.149
Volume in Å³ per atom: 69.10
DOS at the Fermi energy in states/eV/f.u.: 4.10


two:
Entry from Alexandria: a geometry-optimized K5Rb2O structure (PBE-GGA).

The structure in POSCAR format:
```
K5Rb2O
1.0
5.278 0.000 0.000
-2.639 12.147 0.000
0.000 0.000 16.660
K Rb O
10 4 2
direct
0.940 0.880 0.861
0.940 0.880 0.639
0.217 0.433 0.365
0.217 0.433 0.135
0.643 0.285 0.250
0.357 0.715 0.750
0.783 0.567 0.635
0.783 0.567 0.865
0.060 0.120 0.139
0.060 0.120 0.361
0.875 0.750 0.384
0.875 0.750 0.116
0.125 0.250 0.616
0.125 0.250 0.884
0.862 0.724 0.750
0.138 0.276 0.250
```

Output
Theoretical density in g/cm3: 1.189
Volume in Å³ per atom: 66.75
DOS at the Fermi energy in states/eV/f.u.: 4.96


The relative energies come out as one 0.006; two 0.000, with values in eV/atom.